1.
## HOs3N (SCAN)

Data for a PBEsol-optimized structure of HOs3N.

Properties
Magnetization = 0.0007 μB/atom
Total energy = -1.620 Ha/atom
Space-group type = Pm-3m, No. 221

Cell lengths 3.948, 3.948, 3.948 Å; angles 90.00, 90.00, 90.00 degrees
Element x y z (fractional)
N  0.000  0.000  0.000
Os  0.000  0.000  0.500
Os  0.500  0.000  0.000
H  0.500  0.500  0.500
Os  0.000  0.500  0.000

2.
## Re2HOsN (SCAN)

Data for a PBEsol-optimized structure of Re2HOsN.

Properties
Magnetization = 0.0001 μB/atom
Total energy = -1.582 Ha/atom
Space-group type = P4/mmm, No. 123

Cell lengths 3.031, 4.716, 4.716 Å; angles 90.00, 90.00, 90.00 degrees
Element x y z (fractional)
H  0.500  0.000  0.000
Re  0.000  0.000  0.500
Re  0.000  0.500  0.000
N  0.500  0.500  0.500
Os  0.000  0.000  0.000

3.
## H2OsRhN (SCAN)

Data for a PBEsol-optimized structure of H2OsRhN.

Properties
Magnetization = 0.4222 μB/atom
Total energy = -0.861 Ha/atom
Space-group type = P4/mmm, No. 123

Cell lengths 3.146, 3.146, 4.291 Å; angles 90.00, 90.00, 90.00 degrees
Element x y z (fractional)
H  0.000  0.500  0.000
N  0.000  0.000  0.500
Rh  0.000  0.000  0.000
Os  0.500  0.500  0.500
H  0.500  0.000  0.000

4.
## HOsSeN2 (SCAN)

Data for a PBEsol-optimized structure of HOsSeN2.

Properties
Magnetization = 0.0000 μB/atom
Total energy = -0.798 Ha/atom
Space-group type = P4/mmm, No. 123

Cell lengths 3.700, 3.700, 5.272 Å; angles 90.00, 90.00, 90.00 degrees
Element x y z (fractional)
Os  0.000  0.000  0.000
Se  0.000  0.000  0.500
N  0.000  0.500  0.000
N  0.500  0.000  0.000
H  0.500  0.500  0.500

5.
## H3PbN (SCAN)

Data for a PBEsol-optimized structure of H3PbN.

Properties
Magnetization = 0.5671 μB/atom
Total energy = -0.653 Ha/atom
Space-group type = Pm-3m, No. 221

Cell lengths 3.995, 3.995, 3.995 Å; angles 90.00, 90.00, 90.00 degrees
Element x y z (fractional)
H  0.500  0.000  0.000
H  0.000  0.000  0.500
H  0.000  0.500  0.000
N  0.500  0.500  0.500
Pb  0.000  0.000  0.000

6.
## H2PbN (SCAN)

Data for a PBEsol-optimized structure of H2PbN.

Properties
Magnetization = 0.0000 μB/atom
Total energy = -0.819 Ha/atom
Space-group type = I4_1/amd, No. 141

Cell lengths 4.747, 4.747, 4.747 Å; angles 90.13, 59.92, 120.08 degrees
Element x y z (fractional)
H  0.250  0.625  0.125
Pb  0.500  0.250  0.250
N  0.000  0.500  0.500
H  0.250  0.625  0.625
Pb  0.000  0.000  0.000
H  0.750  0.625  0.625
N  0.500  0.750  0.750
H  0.750  0.125  0.625

7.
## HPd2N (SCAN)

Data for a PBEsol-optimized structure of HPd2N.

Properties
Magnetization = 0.0002 μB/atom
Total energy = -0.679 Ha/atom
Space-group type = Fm-3m, No. 225

Cell lengths 3.807, 3.807, 3.807 Å; angles 60.00, 60.00, 60.00 degrees
Element x y z (fractional)
N  0.500  0.500  0.500
Pd  0.250  0.250  0.250
H  0.000  0.000  0.000
Pd  0.750  0.750  0.750

8.
## HPd3N (SCAN)

Data for a PBEsol-optimized structure of HPd3N.

Properties
Magnetization = 0.5739 μB/atom
Total energy = -0.782 Ha/atom
Space-group type = Pm-3m, No. 221

Cell lengths 3.836, 3.836, 3.836 Å; angles 90.00, 90.00, 90.00 degrees
Element x y z (fractional)
Pd  0.000  0.000  0.500
H  0.000  0.000  0.000
Pd  0.000  0.500  0.000
N  0.500  0.500  0.500
Pd  0.500  0.000  0.000

Q: Look up the magnetization of the second one.
A: 0.0001 μB/atom

Q: The lowest total energy belongs to which entry?
A: HOs3N